A geometry-optimized TeP2Br structure, computed with PBE.

Calculated values
For the uncorrected formation energy, the calculation gives 0.1908 eV per atom. The value obtained for the energy is -3.72 eV per atom. The volume comes out at 90 Å³/f.u. Its total magnetic moment is 0.0 μB per formula unit. The calculation puts the energy relative to the lowest polymorph listed for this composition at 159 meV/atom.

Unit cell a=3.4635 b=3.4635 c=26.0285 alpha=90.00 beta=90.00 gamma=120.00
Space group R3m (No. 160, hexagonal axes)
Unique sites:
Te (0.0000, 0.0000, 0.0000)
P (0.0000, 0.0000, 0.4656)
P (0.0000, 0.0000, 0.7525)
Br (0.0000, 0.0000, 0.2093)